1.
# HfCd3Bi

A geometry-optimized HfCd3Bi structure (PBE, Alexandria).

Properties
Formation enthalpy at 0 K: 1.138 eV/atom
DOS at the Fermi energy: 7.4 states/eV/cell
Spin magnetization: 0.002 μB/cell

a = 5.5493 Å, b = 5.5493 Å, c = 5.5493 Å
α = 90.00°, β = 90.00°, γ = 90.00°
Last column: nearest neighbours and their distance in Å.
Space group Pm-3m (No. 221)
Asymmetric unit:
1 Hf 0.0000 0.0000 0.0000 x1  12 Cd 3.92
2 Cd 0.0000 0.5000 0.5000 x3  2 Bi 2.77
3 Bi 0.5000 0.5000 0.5000 x1  6 Cd 2.77



2.
# Hf2CdBi

A geometry-optimized Hf2CdBi structure (PBE, Alexandria).

Properties
Formation enthalpy at 0 K: 0.834 eV/atom
DOS at the Fermi energy: 19.0 states/eV/cell
Spin magnetization: 2.128 μB/cell

a = 4.8613 Å, b = 4.8613 Å, c = 22.7015 Å
α = 90.00°, β = 90.00°, γ = 120.00°
Last column: nearest neighbours and their distance in Å.
Space group R-3m (No. 166, hexagonal axes)
Asymmetric unit:
1 Hf 0.0000 0.0000 0.1322 x6  3 Bi 2.91, 1 Cd 3.00, 3 Hf 3.21
2 Cd 0.0000 0.0000 0.0000 x3  2 Hf 3.00
3 Bi 0.0000 0.0000 0.5000 x3  6 Hf 2.91



> What is the DOS at the Fermi energy in the second record?

19.0 states/eV/cell